ZnGaN2O, relaxed, DFT PBE; DOS at the Fermi energy = 0.333 states/eV/atom; space-group type = P4/mmm; ΔE_f (raw) = 430 kJ/mol of formula units
1.0
3.955 0.000 0.000
0.000 3.955 0.000
0.000 0.000 3.850
Zn Ga N O
1 1 2 1
Cartesian
0.000 0.000 0.000
1.977 1.977 1.925
0.000 1.977 1.925
1.977 0.000 1.925
1.977 1.977 0.000

ZnGa3N3O, relaxed, DFT PBE; DOS at the Fermi energy = 0.037 states/eV/atom; space-group type = P1; ΔE_f (raw) = -502 kJ/mol of formula units
1.0
6.491 0.000 0.000
-3.242 5.626 0.000
-0.002 -0.003 10.543
Zn Ga N O
4 12 12 4
Cartesian
0.000 0.000 0.000
-1.619 2.938 10.537
0.004 1.931 7.973
3.246 1.934 7.944
-0.006 0.051 5.503
-1.625 2.878 5.521
-1.610 4.749 8.044
0.053 1.965 2.890
-1.569 4.781 2.880
3.231 0.001 0.137
3.252 0.059 5.498
1.629 2.883 5.521
1.612 2.926 0.161
3.204 1.906 2.870
1.582 4.729 2.870
1.616 4.730 8.036
-0.006 0.007 7.428
-1.618 2.928 7.430
-0.001 1.933 4.798
-1.622 4.750 4.786
-1.572 4.801 10.027
3.250 0.015 7.415
3.254 0.065 2.148
1.635 2.882 2.156
1.623 2.919 7.423
1.571 4.726 10.053
3.248 1.935 4.792
1.627 4.751 4.785
-1.616 2.874 2.262
0.004 0.067 2.276
0.063 1.958 10.216
3.183 1.901 10.228

ZnGaN2O, relaxed, DFT PBE; DOS at the Fermi energy = 0.530 states/eV/atom; space-group type = P4/mmm; ΔE_f (raw) = 590 kJ/mol of formula units
1.0
3.943 0.000 0.000
0.000 3.943 0.000
0.000 0.000 4.046
Zn Ga N O
1 1 2 1
Cartesian
0.000 0.000 0.000
1.972 1.972 2.023
0.000 1.972 0.000
1.972 0.000 0.000
0.000 0.000 2.023

GaOsN3, relaxed, DFT PBE; DOS at the Fermi energy = 0.892 states/eV/atom; space-group type = Pm-3m; ΔE_f (raw) = 1051 kJ/mol of formula units
1.0
3.759 0.000 0.000
0.000 3.759 0.000
0.000 0.000 3.759
Ga Os N
1 1 3
Cartesian
0.000 0.000 0.000
1.879 1.879 1.879
0.000 0.000 1.879
0.000 1.879 0.000
1.879 0.000 0.000

GaOsN2, relaxed, DFT PBE; DOS at the Fermi energy = 0.375 states/eV/atom; space-group type = I-42d; ΔE_f (raw) = 163 kJ/mol of formula units
1.0
-2.353 2.353 4.366
2.353 -2.353 4.366
2.353 2.353 -4.366
Ga Os N
2 2 4
Cartesian
0.000 0.000 0.000
0.000 2.353 2.183
2.353 0.000 2.183
0.000 0.000 4.366
3.530 1.135 -1.091
1.135 1.177 1.091
-1.177 1.218 3.274
1.218 1.177 5.457

Ga3OsN, relaxed, DFT PBE; DOS at the Fermi energy = 0.361 states/eV/atom; space-group type = Pm-3m; ΔE_f (raw) = 455 kJ/mol of formula units
1.0
4.822 0.000 0.000
0.000 4.822 0.000
0.000 0.000 4.822
Ga Os N
3 1 1
Cartesian
0.000 0.000 2.411
0.000 2.411 0.000
2.411 0.000 0.000
0.000 0.000 0.000
2.411 2.411 2.411